(1)
Material: BaZr2Si
Method: DFT, PBE
State: optimized geometry

Calculated values
Calculated total energy (eV per atom): -6.0356
Magnetic moment (μB per atom): 0.00
Raw formation energy (meV per atom): 75

Unit cell a=11.1321 b=3.6167 c=5.8462 alpha=90.00 beta=110.56 gamma=90.00
Closest atoms and distances in Å follow each position.
Space group C2/m (No. 12)
One atom of each set of equivalent atoms:
Ba 0.0000 0.0000 0.0000 (multiplicity 2)  8 Zr 3.41-3.80, 4 Si 3.44, 2 Ba 3.62
Zr 0.1888 0.0000 0.6506 (multiplicity 4)  2 Si 2.68
Si 0.0000 0.5000 0.5000 (multiplicity 2)  4 Zr 2.68



(2)
Material: Ba2ZrSi2
Method: DFT, PBE
State: optimized geometry

Calculated values
Calculated total energy (eV per atom): -4.1419
Magnetic moment (μB per atom): 0.20
Raw formation energy (meV per atom): 506

Unit cell a=9.4830 b=9.4830 c=3.3380 alpha=90.00 beta=90.00 gamma=90.00
Closest atoms and distances in Å follow each position.
Space group P4/mbm (No. 127)
One atom of each set of equivalent atoms:
Ba 0.1256 0.3744 0.0000 (multiplicity 4)  6 Si 3.18-3.31, 3 Ba 3.34-3.37
Zr 0.0000 0.0000 0.0000 (multiplicity 2)  2 Zr 3.34
Si 0.1725 0.6725 0.5000 (multiplicity 4)  6 Ba 3.18-3.31, 2 Si 3.34



(3)
Material: BaZrSi2
Method: DFT, PBE
State: optimized geometry

Calculated values
Calculated total energy (eV per atom): -5.6612
Magnetic moment (μB per atom): 0.02
Raw formation energy (meV per atom): -332

Unit cell a=3.6898 b=4.1214 c=13.6385 alpha=90.00 beta=90.00 gamma=90.00
Closest atoms and distances in Å follow each position.
Space group Imm2 (No. 44)
One atom of each set of equivalent atoms:
Ba 0.0000 0.0000 0.0000 (multiplicity 2)  4 Si 3.32, 2 Ba 3.69
Zr 0.0000 0.5000 0.2345 (multiplicity 2)  6 Si 2.73-2.77
Si 0.0000 0.0000 0.3659 (multiplicity 2)  2 Si 2.52, 2 Zr 2.73
Si 0.0000 0.5000 0.7403 (multiplicity 2)  2 Si 2.52, 4 Zr 2.77



(4)
Material: BaZr2Si
Method: DFT, PBE
State: optimized geometry

Calculated values
Calculated total energy (eV per atom): -5.6858
Magnetic moment (μB per atom): 0.00
Raw formation energy (meV per atom): 425

Unit cell a=7.3299 b=7.3299 c=7.3299 alpha=90.00 beta=90.00 gamma=90.00
Closest atoms and distances in Å follow each position.
Space group F-43m (No. 216)
One atom of each set of equivalent atoms:
Ba 0.0000 0.0000 0.0000 (multiplicity 4)  4 Si 3.17, 4 Zr 3.17
Zr 0.0000 0.0000 0.5000 (multiplicity 4)  4 Zr 3.17, 4 Si 3.17
Zr 0.2500 0.2500 0.2500 (multiplicity 4)  4 Ba 3.17, 4 Zr 3.17
Si 0.2500 0.2500 0.7500 (multiplicity 4)  4 Zr 3.17, 4 Ba 3.17



(5)
Material: Ba2ZrSi
Method: DFT, PBE
State: optimized geometry

Calculated values
Calculated total energy (eV per atom): -4.4001
Magnetic moment (μB per atom): 0.00
Raw formation energy (meV per atom): 54

Unit cell a=4.3821 b=5.1239 c=13.2795 alpha=90.00 beta=90.00 gamma=90.00
Closest atoms and distances in Å follow each position.
Space group Amm2 (No. 38)
One atom of each set of equivalent atoms:
Ba 0.0000 0.0000 0.0000 (multiplicity 2)  4 Zr 3.62, 3 Si 3.79-3.84
Ba 0.5000 0.0000 0.2921 (multiplicity 2)  4 Si 3.54, 2 Zr 3.63
Zr 0.5000 0.0000 0.5987 (multiplicity 2)  2 Si 2.65
Si 0.0000 0.0000 0.7105 (multiplicity 2)  2 Zr 2.65



(6)
Material: BaZrSi2
Method: DFT, PBE
State: optimized geometry

Calculated values
Calculated total energy (eV per atom): -5.2905
Magnetic moment (μB per atom): 0.00
Raw formation energy (meV per atom): 39

Unit cell a=5.3368 b=5.3368 c=17.9652 alpha=90.00 beta=90.00 gamma=90.00
Closest atoms and distances in Å follow each position.
Space group I4_1/amd (No. 141, origin choice 2)
One atom of each set of equivalent atoms:
Ba 0.0000 0.2500 0.3750 (multiplicity 4)  8 Si 3.73, 4 Zr 3.77
Zr 0.0000 0.2500 0.8750 (multiplicity 4)  4 Si 2.61
Si 0.0000 0.0000 0.0000 (multiplicity 8)  2 Zr 2.61, 2 Si 2.67



(7)
Material: BaZrSi
Method: DFT, PBE
State: optimized geometry

Calculated values
Calculated total energy (eV per atom): -5.6797
Magnetic moment (μB per atom): 0.21
Raw formation energy (meV per atom): -382

Unit cell a=4.4991 b=4.4991 c=10.1043 alpha=90.00 beta=90.00 gamma=90.00
Closest atoms and distances in Å follow each position.
Space group P4/nmm (No. 129, origin choice 2)
One atom of each set of equivalent atoms:
Ba 0.2500 0.2500 0.1921 (multiplicity 2)  4 Si 3.52, 4 Zr 3.84
Zr 0.2500 0.7500 0.5000 (multiplicity 2)  4 Si 2.76
Si 0.2500 0.2500 0.6587 (multiplicity 2)  4 Zr 2.76



(8)
Material: BaZr2Si
Method: DFT, PBE
State: optimized geometry

Calculated values
Calculated total energy (eV per atom): -5.7614
Magnetic moment (μB per atom): 0.00
Raw formation energy (meV per atom): 349

Unit cell a=4.6352 b=4.6352 c=8.8873 alpha=90.00 beta=90.00 gamma=90.00
Closest atoms and distances in Å follow each position.
Space group I4/mmm (No. 139)
One atom of each set of equivalent atoms:
Ba 0.0000 0.0000 0.0000 (multiplicity 2)  8 Zr 3.21, 4 Si 3.28
Zr 0.0000 0.5000 0.2500 (multiplicity 4)  4 Ba 3.21, 4 Si 3.21, 4 Zr 3.28
Si 0.0000 0.0000 0.5000 (multiplicity 2)  8 Zr 3.21, 4 Ba 3.28



(9)
Material: BaZrSi2
Method: DFT, PBE
State: optimized geometry

Calculated values
Calculated total energy (eV per atom): -5.4987
Magnetic moment (μB per atom): 0.00
Raw formation energy (meV per atom): -169

Unit cell a=3.2906 b=3.2906 c=8.5253 alpha=90.00 beta=90.00 gamma=90.00
Closest atoms and distances in Å follow each position.
Space group P4/mmm (No. 123)
One atom of each set of equivalent atoms:
Ba 0.0000 0.0000 0.0000 (multiplicity 1)  4 Ba 3.29, 8 Si 3.39
Zr 0.0000 0.0000 0.5000 (multiplicity 1)  8 Si 2.94
Si 0.5000 0.5000 0.2898 (multiplicity 2)  4 Zr 2.94



(10)
Material: BaSm3
Method: DFT, PBE
State: optimized geometry

Calculated values
Formation energy (eV per atom): 0.216
Calculated total energy (eV per atom): -3.8036
Magnetic moment (μB per atom): 0.00

Unit cell a=5.3382 b=5.3382 c=5.3382 alpha=90.00 beta=90.00 gamma=90.00
Closest atoms and distances in Å follow each position.
Space group Pm-3m (No. 221)
One atom of each set of equivalent atoms:
Ba 0.0000 0.0000 0.0000 (multiplicity 1)  12 Sm 3.77
Sm 0.0000 0.5000 0.5000 (multiplicity 3)  4 Ba 3.77, 8 Sm 3.77



(11)
Material: Ba3Sm
Method: DFT, PBE
State: optimized geometry

Calculated values
Formation energy (eV per atom): 0.195
Calculated total energy (eV per atom): -2.4265
Magnetic moment (μB per atom): 0.00

Unit cell a=4.2359 b=13.6425 c=7.1633 alpha=90.00 beta=90.00 gamma=90.00
Closest atoms and distances in Å follow each position.
Space group Imm2 (No. 44)
One atom of each set of equivalent atoms:
Ba 0.0000 0.0000 0.0000 (multiplicity 2)  4 Sm 4.14-4.18, 8 Ba 4.15-4.27
Ba 0.0000 0.2375 0.3628 (multiplicity 4)  3 Sm 4.00-4.41, 9 Ba 4.15-4.27
Sm 0.0000 0.5000 0.0027 (multiplicity 2)  10 Ba 4.00-4.41, 2 Sm 4.24



(12)
Material: Ba6Sm
Method: DFT, PBE
State: optimized geometry

Calculated values
Formation energy (eV per atom): 1.035
Calculated total energy (eV per atom): -1.2872
Magnetic moment (μB per atom): 0.00

Unit cell a=9.2875 b=9.2875 c=9.2875 alpha=90.00 beta=90.00 gamma=90.00
Closest atoms and distances in Å follow each position.
Space group Im-3m (No. 229)
One atom of each set of equivalent atoms:
Ba 0.0000 0.2500 0.5000 (multiplicity 12)  4 Ba 3.28
Sm 0.0000 0.0000 0.0000 (multiplicity 2)  24 Ba 5.19



(13)
Material: Ba3Sm
Method: DFT, PBE
State: optimized geometry

Calculated values
Formation energy (eV per atom): 0.209
Calculated total energy (eV per atom): -2.4127
Magnetic moment (μB per atom): 0.00

Unit cell a=5.9340 b=5.9340 c=11.7427 alpha=90.00 beta=90.00 gamma=90.00
Closest atoms and distances in Å follow each position.
Space group I4/mmm (No. 139)
One atom of each set of equivalent atoms:
Ba 0.0000 0.0000 0.0000 (multiplicity 2)  8 Ba 4.17, 4 Sm 4.20
Ba 0.0000 0.5000 0.2500 (multiplicity 4)  8 Ba 4.17-4.20, 4 Sm 4.17
Sm 0.0000 0.0000 0.5000 (multiplicity 2)  12 Ba 4.17-4.20



(14)
Material: BaSm6
Method: DFT, PBE
State: optimized geometry

Calculated values
Formation energy (eV per atom): 1.061
Calculated total energy (eV per atom): -3.2582
Magnetic moment (μB per atom): 0.00

Unit cell a=8.3694 b=8.3694 c=8.3694 alpha=90.00 beta=90.00 gamma=90.00
Closest atoms and distances in Å follow each position.
Space group Im-3m (No. 229)
One atom of each set of equivalent atoms:
Ba 0.0000 0.0000 0.0000 (multiplicity 2)  24 Sm 4.68
Sm 0.0000 0.2500 0.5000 (multiplicity 12)  4 Sm 2.96



(15)
Material: Ba3Sm
Method: DFT, PBE
State: optimized geometry

Calculated values
Formation energy (eV per atom): 0.276
Calculated total energy (eV per atom): -2.3457
Magnetic moment (μB per atom): 0.02

Unit cell a=3.8709 b=4.1083 c=13.2130 alpha=90.00 beta=90.00 gamma=90.00
Closest atoms and distances in Å follow each position.
Space group Pmm2 (No. 25)
One atom of each set of equivalent atoms:
Ba 0.0000 0.0000 0.0000 (multiplicity 1)  6 Ba 3.87-4.24
Ba 0.0000 0.5000 0.2809 (multiplicity 1)  6 Ba 3.87-4.24, 4 Sm 3.98
Ba 0.5000 0.5000 0.7318 (multiplicity 1)  2 Sm 3.76, 4 Ba 3.87-4.11
Sm 0.5000 0.0000 0.4937 (multiplicity 1)  6 Ba 3.76-3.98, 4 Sm 3.87-4.11



(16)
Material: Ba3Sm
Method: DFT, PBE
State: optimized geometry

Calculated values
Formation energy (eV per atom): 0.199
Calculated total energy (eV per atom): -2.4228
Magnetic moment (μB per atom): 0.00

Unit cell a=8.4346 b=8.4346 c=6.7565 alpha=90.00 beta=90.00 gamma=120.00
Closest atoms and distances in Å follow each position.
Space group P6_3/mmc (No. 194)
One atom of each set of equivalent atoms:
Ba 0.1719 0.3438 0.2500 (multiplicity 6)  8 Ba 4.08-4.35, 4 Sm 4.12-4.22
Sm 0.3333 0.6667 0.7500 (multiplicity 2)  12 Ba 4.12-4.22



(17)
Material: BaSm3
Method: DFT, PBE
State: optimized geometry

Calculated values
Formation energy (eV per atom): 0.189
Calculated total energy (eV per atom): -3.8315
Magnetic moment (μB per atom): 0.00

Unit cell a=3.7600 b=6.0174 c=6.7669 alpha=90.00 beta=90.00 gamma=90.00
Closest atoms and distances in Å follow each position.
Space group Pmm2 (No. 25)
One atom of each set of equivalent atoms:
Ba 0.0000 0.0000 0.0000 (multiplicity 1)  2 Ba 3.76, 10 Sm 3.79-3.90
Sm 0.0000 0.5000 0.6594 (multiplicity 1)  8 Sm 3.63-3.76, 2 Ba 3.79
Sm 0.5000 0.0000 0.4955 (multiplicity 1)  8 Sm 3.61-3.76, 4 Ba 3.84-3.90
Sm 0.5000 0.5000 0.2001 (multiplicity 1)  6 Sm 3.61-3.76, 4 Ba 3.80



(18)
Material: Ba5Sm
Method: DFT, PBE
State: optimized geometry

Calculated values
Formation energy (eV per atom): 0.129
Calculated total energy (eV per atom): -2.2596
Magnetic moment (μB per atom): 0.00

Unit cell a=6.8679 b=20.6664 c=4.6989 alpha=90.00 beta=90.00 gamma=90.00
Closest atoms and distances in Å follow each position.
Space group Cmmm (No. 65)
One atom of each set of equivalent atoms:
Ba 0.0000 0.0000 0.0000 (multiplicity 2)  4 Sm 4.16, 8 Ba 4.25-4.65
Ba 0.0000 0.1712 0.5000 (multiplicity 4)  8 Ba 4.18-4.35
Ba 0.0000 0.3484 0.0000 (multiplicity 4)  2 Sm 3.92, 6 Ba 4.18-4.35
Sm 0.0000 0.5000 0.5000 (multiplicity 2)  8 Ba 3.92-4.16



(19)
Material: Ba3Sm
Method: DFT, PBE
State: optimized geometry

Calculated values
Formation energy (eV per atom): 0.216
Calculated total energy (eV per atom): -2.4062
Magnetic moment (μB per atom): 0.00

Unit cell a=5.9214 b=5.9214 c=5.9214 alpha=90.00 beta=90.00 gamma=90.00
Closest atoms and distances in Å follow each position.
Space group Pm-3m (No. 221)
One atom of each set of equivalent atoms:
Ba 0.0000 0.0000 0.5000 (multiplicity 3)  8 Ba 4.19, 4 Sm 4.19
Sm 0.5000 0.5000 0.5000 (multiplicity 1)  12 Ba 4.19



(20)
Material: BaSmTlSn
Method: DFT, PBE
State: optimized geometry

Calculated values
Formation energy (eV per atom): -0.398
Calculated total energy (eV per atom): -3.6508
Magnetic moment (μB per atom): 0.00

Unit cell a=8.1058 b=8.1058 c=8.1058 alpha=90.00 beta=90.00 gamma=90.00
Closest atoms and distances in Å follow each position.
Space group F-43m (No. 216)
One atom of each set of equivalent atoms:
Ba 0.0000 0.0000 0.0000 (multiplicity 4)  4 Sn 3.51, 4 Tl 3.51
Sm 0.0000 0.0000 0.5000 (multiplicity 4)  4 Tl 3.51, 4 Sn 3.51
Tl 0.2500 0.2500 0.2500 (multiplicity 4)  4 Ba 3.51, 4 Sm 3.51
Sn 0.2500 0.2500 0.7500 (multiplicity 4)  4 Ba 3.51, 4 Sm 3.51



Going through the records in order, we get calculated volume values of 220.4, 300.2, 207.4, 393.8, 298.2, 511.7, 204.5, 190.9, 92.3, 152.1, 414.0, 801.1, 413.5, 586.2, 210.1, 416.3, 153.1, 666.9, 207.6, 532.6 Å³/cell.